TaInAs2Se | the Alexandria database | SCAN | single point on PBEsol structure; formation energy from raw total energies = 1.444 eV per atom; spin magnetization = 1.8 Bohr magnetons per cell; density of states at the Fermi level = 4.8 states/eV per cell
1.0
4.9648 0.0000 0.0000
0.0000 4.9648 0.0000
0.0000 0.0000 5.0449
As Ta In Se
2 1 1 1
Direct
0.0000 0.5000 0.0000
0.5000 0.0000 0.0000
0.5000 0.5000 0.5000
0.0000 0.0000 0.0000
0.0000 0.0000 0.5000